The following is a meta-GGA SCAN calculation of a PBEsol-optimized structure of Ta2CuRh, from Alexandria via LeMat-Bulk.

Cell and atoms, written as POSCAR:
```
Ta2CuRh
1.0
-2.4530 -0.9599 -0.9445
1.7754 -1.4263 -3.1613
0.8478 -4.7505 2.6194
Cu Rh Ta
1 1 2
direct
0.5000 0.5000 0.0000 Cu
0.5000 0.5000 0.5000 Rh
0.0003 0.0000 0.7493 Ta
0.9997 0.0000 0.2507 Ta
```

Properties
Its formation energy is -233 meV/atom. As for the volume: 60 Å³/cell. The calculation puts the density of states at the Fermi level at 3.09 states/eV per cell. As for the space-group type: Pmmm.